Record 1
This record from the Alexandria database describes an optimized crystal structure of PH2Au. The functional is PBE-GGA.

abc: 3.868 3.868 3.868
angles: 60.00 60.00 60.00
Atoms (fractional coordinates):
P (0.000, 0.000, 0.000)
H (0.750, 0.750, 0.750)
H (0.250, 0.250, 0.250)
Au (0.500, 0.500, 0.500)

Output
- energy above the lowest structure with this stoichiometry (meV/atom) = 1002
- crystal system = cubic
- space group = No. 225
- total magnetic moment (μB/cell) = 0.0
- V (Å³ per cell) = 40.9
- total DFT energy (no corrections) (eV/atom) = -2.8692

=====

Record 2
This record from the Alexandria database describes an optimized crystal structure of Ho3Tl2Pd2. The functional is PBE-GGA.

abc: 3.913 3.734 11.769
angles: 90.00 80.43 90.00
Atoms (fractional coordinates):
Tl (0.417, 0.500, 0.166)
Tl (0.583, 0.500, 0.834)
Pd (0.710, 0.500, 0.581)
Pd (0.290, 0.500, 0.419)
Ho (0.828, 0.000, 0.343)
Ho (0.000, 0.000, 0.000)
Ho (0.172, 0.000, 0.657)

Output
- formation energy (eV/atom) = -0.627
- crystal system = orthorhombic
- space group = No. 65
- total magnetic moment (μB/cell) = 0.0
- V (Å³ per cell) = 169.5
- total DFT energy (no corrections) (eV/atom) = -4.7487

=====

Record 3
This record from the Alexandria database describes an optimized crystal structure of K3ZnS. The functional is PBE-GGA.

abc: 6.112 6.112 6.112
angles: 90.00 90.00 90.00
Atoms (fractional coordinates):
K (0.000, 0.500, 0.000)
K (0.500, 0.000, 0.000)
K (0.000, 0.000, 0.500)
S (0.000, 0.000, 0.000)
Zn (0.500, 0.500, 0.500)

Output
- energy above the lowest structure with this stoichiometry (meV/atom) = 0
- crystal system = cubic
- ΔE_f (raw) (eV per atom) = -0.420
- space group = No. 221
- total magnetic moment (μB/cell) = 0.0
- V (Å³ per cell) = 228.3
- total DFT energy (no corrections) (eV/atom) = -2.1590

=====

Record 4
This record from the Alexandria database describes an optimized crystal structure of PuPaN2. The functional is PBE-GGA.

abc: 3.476 3.476 6.289
angles: 73.96 73.96 60.00
Site moments in Bohr magnetons follow the coordinates.
Atoms (fractional coordinates):
Pa (0.669, 0.669, 0.994)  0.20
N (0.260, 0.260, 0.221)  -0.06
N (0.078, 0.078, 0.766)  -0.09
Pu (0.494, 0.494, 0.519)  5.11

Output
- crystal system = trigonal
- ΔE_f (raw) (eV per atom) = -1.237
- space group = No. 160
- total magnetic moment (μB/cell) = 5.4
- V (Å³ per cell) = 62.4
- total DFT energy (no corrections) (eV/atom) = -11.3563

=====

Record 5
This record from the Alexandria database describes an optimized crystal structure of LaNdAlGe. The functional is PBE-GGA.

abc: 5.303 5.303 5.303
angles: 60.00 60.00 60.00
Atoms (fractional coordinates):
Ge (0.000, 0.000, 0.000)
Nd (0.750, 0.750, 0.750)
La (0.250, 0.250, 0.250)
Al (0.500, 0.500, 0.500)

Output
- energy above the lowest structure with this stoichiometry (meV/atom) = 205
- formation energy (eV/atom) = -0.456
- crystal system = cubic
- space group = No. 216
- total magnetic moment (μB/cell) = 0.0
- V (Å³ per cell) = 105.4
- total DFT energy (no corrections) (eV/atom) = -4.9701

=====

Record 6
This record from the Alexandria database describes an optimized crystal structure of GeB3P. The functional is PBE-GGA.

abc: 4.114 4.114 4.114
angles: 90.00 90.00 90.00
Atoms (fractional coordinates):
B (0.500, 0.000, 0.000)
B (0.000, 0.000, 0.500)
B (0.000, 0.500, 0.000)
P (0.500, 0.500, 0.500)
Ge (0.000, 0.000, 0.000)

Output
- energy above the lowest structure with this stoichiometry (meV/atom) = 568
- formation energy (eV/atom) = 2.013
- crystal system = cubic
- space group = No. 221
- total magnetic moment (μB/cell) = 0.0
- V (Å³ per cell) = 69.6
- total DFT energy (no corrections) (eV/atom) = -3.9990

=====

Record 7
This record from the Alexandria database describes an optimized crystal structure of Ba3Tl3Hg2. The functional is PBE-GGA.

abc: 5.228 6.783 17.747
angles: 90.00 90.00 112.67
Atoms (fractional coordinates):
Tl (0.350, 0.701, 0.250)
Tl (0.384, 0.769, 0.961)
Tl (0.616, 0.231, 0.039)
Tl (0.616, 0.231, 0.461)
Tl (0.650, 0.299, 0.750)
Tl (0.384, 0.769, 0.539)
Ba (0.098, 0.196, 0.604)
Ba (0.902, 0.804, 0.104)
Ba (0.098, 0.196, 0.896)
Ba (0.902, 0.804, 0.396)
Ba (0.635, 0.270, 0.250)
Ba (0.365, 0.730, 0.750)
Hg (0.201, 0.402, 0.394)
Hg (0.799, 0.598, 0.894)
Hg (0.201, 0.402, 0.106)
Hg (0.799, 0.598, 0.606)

Output
- formation energy (eV/atom) = -0.408
- crystal system = orthorhombic
- space group = No. 63
- total magnetic moment (μB/cell) = 0.0
- V (Å³ per cell) = 580.8
- total DFT energy (no corrections) (eV/atom) = -2.0923

=====

Record 8
This record from the Alexandria database describes an optimized crystal structure of Dy2Ge4Pd3Pt. The functional is PBE-GGA.

abc: 4.261 4.261 10.300
angles: 90.00 90.00 90.00
Atoms (fractional coordinates):
Pd (0.500, 0.000, 0.867)
Pd (0.000, 0.000, 0.500)
Pd (0.000, 0.500, 0.133)
Pt (0.500, 0.500, 0.500)
Ge (0.500, 0.000, 0.633)
Ge (0.000, 0.000, 0.000)
Ge (0.000, 0.500, 0.367)
Ge (0.500, 0.500, 0.000)
Dy (0.000, 0.500, 0.747)
Dy (0.500, 0.000, 0.253)

Output
- formation energy (eV/atom) = -0.788
- crystal system = tetragonal
- space group = No. 115
- total magnetic moment (μB/cell) = 0.0
- V (Å³ per cell) = 187.0
- total DFT energy (no corrections) (eV/atom) = -5.7172

=====

Record 9
This record from the Alexandria database describes an optimized crystal structure of PrNd8Hg2. The functional is PBE-GGA.

abc: 5.810 8.876 8.876
angles: 119.10 100.49 100.49
Atoms (fractional coordinates):
Nd (0.500, 0.227, 0.773)
Nd (0.299, 0.598, 0.598)
Nd (0.105, 0.317, 0.090)
Nd (0.105, 0.090, 0.317)
Nd (0.701, 0.402, 0.402)
Nd (0.895, 0.683, 0.910)
Nd (0.500, 0.773, 0.227)
Nd (0.895, 0.910, 0.683)
Pr (0.500, 0.000, 0.000)
Hg (0.000, 0.694, 0.306)
Hg (0.000, 0.306, 0.694)

Output
- formation energy (eV/atom) = -0.065
- crystal system = monoclinic
- space group = No. 12
- total magnetic moment (μB/cell) = 0.0
- V (Å³ per cell) = 373.2
- total DFT energy (no corrections) (eV/atom) = -4.0218

=====

Record 10
This record from the Alexandria database describes an optimized crystal structure of Ba3AsClO. The functional is PBE-GGA.

abc: 4.604 8.447 10.723
angles: 94.70 90.00 90.00
Atoms (fractional coordinates):
As (0.250, 0.743, 0.084)
As (0.750, 0.257, 0.916)
Ba (0.250, 0.005, 0.834)
Ba (0.750, 0.995, 0.166)
Ba (0.750, 0.499, 0.167)
Ba (0.750, 0.182, 0.549)
Ba (0.250, 0.501, 0.833)
Ba (0.250, 0.818, 0.451)
O (0.750, 0.941, 0.390)
O (0.250, 0.059, 0.610)
Cl (0.750, 0.642, 0.651)
Cl (0.250, 0.358, 0.349)

Output
- crystal system = monoclinic
- ΔE_f (raw) (eV per atom) = -1.912
- space group = No. 11
- total magnetic moment (μB/cell) = 0.0
- V (Å³ per cell) = 415.6
- total DFT energy (no corrections) (eV/atom) = -4.7820

=====

Record 11
This record from the Alexandria database describes an optimized crystal structure of IrOs3Br. The functional is PBE-GGA.

abc: 4.809 4.809 4.809
angles: 90.00 90.00 90.00
Site moments in Bohr magnetons follow the coordinates.
Atoms (fractional coordinates):
Ir (0.000, 0.000, 0.000)  -0.07
Os (0.000, 0.500, 0.000)  1.37
Os (0.000, 0.000, 0.500)  1.36
Os (0.500, 0.000, 0.000)  1.10
Br (0.500, 0.500, 0.500)  0.27

Output
- energy above the lowest structure with this stoichiometry (meV/atom) = 0
- crystal system = cubic
- ΔE_f (raw) (eV per atom) = 2.547
- space group = No. 221
- total magnetic moment (μB/cell) = 4.4
- V (Å³ per cell) = 111.2
- total DFT energy (no corrections) (eV/atom) = -6.2980

=====

Record 12
This record from the Alexandria database describes an optimized crystal structure of Mg2Si. The functional is PBE-GGA.

abc: 5.315 6.906 7.120
angles: 74.62 75.41 79.65
Atoms (fractional coordinates):
Mg (0.448, 0.128, 0.286)
Mg (0.094, 0.486, 0.428)
Mg (0.306, 0.068, 0.777)
Mg (0.798, 0.835, 0.044)
Mg (0.414, 0.549, 0.984)
Mg (0.903, 0.946, 0.548)
Mg (0.971, 0.270, 0.133)
Mg (0.457, 0.705, 0.537)
Si (0.970, 0.567, 0.800)
Si (0.234, 0.861, 0.182)
Si (0.778, 0.250, 0.802)
Si (0.627, 0.336, 0.480)

Output
- crystal system = triclinic
- ΔE_f (raw) (eV per atom) = 0.015
- space group = No. 1
- total magnetic moment (μB/cell) = 0.0
- V (Å³ per cell) = 242.1
- total DFT energy (no corrections) (eV/atom) = -2.8562

=====

Record 13
This record from the Alexandria database describes an optimized crystal structure of LaNdDy5Er2. The functional is PBE-GGA.

abc: 5.612 10.228 10.797
angles: 90.00 90.00 105.92
Atoms (fractional coordinates):
Dy (0.605, 0.210, 0.526)
Dy (0.285, 0.569, 0.303)
Dy (0.715, 0.431, 0.803)
Dy (0.523, 0.047, 0.238)
Dy (0.297, 0.593, 0.705)
Dy (0.982, 0.963, 0.531)
Dy (0.477, 0.953, 0.738)
Dy (0.395, 0.790, 0.026)
Dy (0.018, 0.037, 0.031)
Dy (0.703, 0.407, 0.205)
Nd (0.418, 0.835, 0.453)
Nd (0.582, 0.165, 0.953)
Er (0.893, 0.786, 0.238)
Er (0.115, 0.230, 0.322)
Er (0.107, 0.214, 0.738)
Er (0.885, 0.770, 0.822)
La (0.207, 0.415, 0.007)
La (0.793, 0.585, 0.507)

Output
- formation energy (eV/atom) = 0.159
- crystal system = orthorhombic
- space group = No. 36
- total magnetic moment (μB/cell) = 0.0
- V (Å³ per cell) = 596.0
- total DFT energy (no corrections) (eV/atom) = -4.4885

=====

Record 14
This record from the Alexandria database describes an optimized crystal structure of LiCu8Ge2. The functional is PBE-GGA.

abc: 3.742 6.854 6.927
angles: 111.88 57.68 105.59
Atoms (fractional coordinates):
Cu (0.625, 0.178, 0.463)
Cu (0.184, 0.912, 0.272)
Cu (0.375, 0.822, 0.537)
Cu (0.816, 0.088, 0.728)
Cu (0.726, 0.640, 0.093)
Cu (0.089, 0.455, 0.638)
Cu (0.911, 0.545, 0.362)
Cu (0.274, 0.360, 0.907)
Li (0.000, 0.000, 0.000)
Ge (0.548, 0.718, 0.812)
Ge (0.452, 0.282, 0.188)

Output
- energy above the lowest structure with this stoichiometry (meV/atom) = 0
- formation energy (eV/atom) = -0.051
- crystal system = triclinic
- space group = No. 2
- total magnetic moment (μB/cell) = 0.0
- V (Å³ per cell) = 138.8
- total DFT energy (no corrections) (eV/atom) = -4.0434

=====

Record 15
This record from the Alexandria database describes an optimized crystal structure of Ca2Be2InPt5. The functional is PBE-GGA.

abc: 3.460 9.773 9.773
angles: 90.00 90.00 90.00
Atoms (fractional coordinates):
Pt (0.500, 0.569, 0.721)
Pt (0.500, 0.069, 0.779)
Pt (0.500, 0.221, 0.069)
Pt (0.500, 0.431, 0.279)
Pt (0.500, 0.721, 0.431)
Pt (0.500, 0.779, 0.931)
Pt (0.500, 0.500, 0.000)
Pt (0.500, 0.931, 0.221)
Pt (0.500, 0.279, 0.569)
Pt (0.500, 0.000, 0.500)
Be (0.000, 0.620, 0.880)
Be (0.000, 0.880, 0.380)
Be (0.000, 0.380, 0.120)
Be (0.000, 0.120, 0.620)
In (0.000, 0.500, 0.500)
In (0.000, 0.000, 0.000)
Ca (0.000, 0.677, 0.177)
Ca (0.000, 0.823, 0.677)
Ca (0.000, 0.323, 0.823)
Ca (0.000, 0.177, 0.323)

Output
- formation energy (eV/atom) = -0.841
- crystal system = tetragonal
- space group = No. 127
- total magnetic moment (μB/cell) = 0.0
- V (Å³ per cell) = 330.4
- total DFT energy (no corrections) (eV/atom) = -5.2806

=====

Record 16
This record from the Alexandria database describes an optimized crystal structure of PrTlHg3. The functional is PBE-GGA.

abc: 5.552 6.764 8.731
angles: 112.79 90.00 90.00
Atoms (fractional coordinates):
Hg (0.000, 0.000, 0.000)
Hg (0.250, 0.615, 0.716)
Hg (0.500, 0.000, 0.000)
Hg (0.750, 0.899, 0.284)
Hg (0.750, 0.385, 0.284)
Hg (0.250, 0.101, 0.716)
Tl (0.750, 0.348, 0.697)
Tl (0.250, 0.652, 0.303)
Pr (0.750, 0.807, 0.613)
Pr (0.250, 0.193, 0.387)

Output
- energy above the lowest structure with this stoichiometry (meV/atom) = 59
- formation energy (eV/atom) = -0.183
- crystal system = orthorhombic
- space group = No. 63
- total magnetic moment (μB/cell) = 0.0
- V (Å³ per cell) = 302.3
- total DFT energy (no corrections) (eV/atom) = -1.7937

=====

Record 17
This record from the Alexandria database describes an optimized crystal structure of Li2LaIn. The functional is PBE-GGA.

abc: 4.945 3.437 6.367
angles: 74.82 90.00 90.00
Atoms (fractional coordinates):
In (0.000, 0.328, 0.474)
Li (0.500, 0.434, 0.243)
Li (0.000, 0.025, 0.074)
La (0.500, 0.713, 0.709)

Output
- formation energy (eV/atom) = -0.155
- crystal system = monoclinic
- space group = No. 6
- total magnetic moment (μB/cell) = 0.0
- V (Å³ per cell) = 104.5
- total DFT energy (no corrections) (eV/atom) = -3.0288